Crystalline Li5Ag2HgPb2 at its relaxed geometry, computed with PBE.

Cell lengths 10.401, 10.401, 3.675 Å; angles 90.00, 90.00, 90.00 degrees
Positions (direct):
Li (0.000, 0.500, 0.000)
Li (0.060, 0.196, 0.000)
Li (0.196, 0.940, 0.000)
Li (0.304, 0.440, 0.000)
Li (0.440, 0.696, 0.000)
Li (0.500, 0.000, 0.000)
Li (0.560, 0.304, 0.000)
Li (0.696, 0.560, 0.000)
Li (0.804, 0.060, 0.000)
Li (0.940, 0.804, 0.000)
Ag (0.129, 0.371, 0.500)
Ag (0.371, 0.871, 0.500)
Ag (0.629, 0.129, 0.500)
Ag (0.871, 0.629, 0.500)
Hg (0.000, 0.000, 0.500)
Hg (0.500, 0.500, 0.500)
Pb (0.170, 0.670, 0.500)
Pb (0.330, 0.170, 0.500)
Pb (0.670, 0.830, 0.500)
Pb (0.830, 0.330, 0.500)

Properties
For the formation energy from the elements, the calculation gives -20.7 kJ/mol of atoms. The calculation puts the total DFT energy (no corrections) at -2.514 eV per atom. The value obtained for the total magnetization is 0.00 μB/f.u.

Crystalline LiPm2S3 at its relaxed geometry, computed with PBE.

Cell lengths 6.888, 6.888, 6.888 Å; angles 146.46, 131.57, 60.19 degrees
Positions (direct):
Li (0.000, 0.000, 0.000)
Pm (0.335, 0.335, 0.000)
Pm (0.665, 0.665, 0.000)
S (0.161, 0.661, 0.500)
S (0.500, 0.000, 0.500)
S (0.839, 0.339, 0.500)

Properties
The value obtained for the uncorrected formation energy is -1.88 eV per atom. The calculation puts the total DFT energy (no corrections) at -5.849 eV per atom. The value obtained for the total magnetization is 0.00 μB/f.u. The offset from the most stable computed form comes out at 0.000 eV per atom.

Crystalline Pb2IBr2Cl at its relaxed geometry, computed with PBE.

Cell lengths 7.453, 14.103, 4.580 Å; angles 90.00, 90.00, 90.00 degrees
Positions (direct):
Pb (0.224, 0.128, 0.000)
Pb (0.276, 0.628, 0.500)
Pb (0.724, 0.372, 0.500)
Pb (0.776, 0.872, 0.000)
I (0.000, 0.000, 0.500)
I (0.500, 0.500, 0.000)
Br (0.132, 0.743, 0.000)
Br (0.368, 0.243, 0.500)
Br (0.632, 0.757, 0.500)
Br (0.868, 0.257, 0.000)
Cl (0.000, 0.500, 0.500)
Cl (0.500, 0.000, 0.000)

Properties
The value obtained for the uncorrected formation energy is -0.86 eV per atom. The calculation puts the total DFT energy (no corrections) at -3.225 eV per atom. The value obtained for the total magnetization is 0.00 μB/f.u.

Crystalline LiHPt2 at its relaxed geometry, computed with PBE.

Cell lengths 3.994, 3.994, 3.994 Å; angles 60.00, 60.00, 60.00 degrees
Positions (direct):
Li (0.000, 0.000, 0.000)
H (0.500, 0.500, 0.500)
Pt (0.250, 0.250, 0.250)
Pt (0.750, 0.750, 0.750)

Properties
The calculation puts the total DFT energy (no corrections) at -4.242 eV per atom. The value obtained for the total magnetization is 0.00 μB/f.u. The offset from the most stable computed form comes out at 0.309 eV per atom.

Crystalline K2TcBr at its relaxed geometry, computed with PBE.

Cell lengths 3.652, 3.652, 10.672 Å; angles 90.00, 90.00, 90.00 degrees
Positions (direct):
K (0.000, 0.000, 0.000)
K (0.500, 0.500, 0.405)
Tc (0.000, 0.000, 0.643)
Br (0.500, 0.500, 0.811)

Properties
The value obtained for the uncorrected formation energy is 0.58 eV per atom. The calculation puts the total DFT energy (no corrections) at -2.980 eV per atom. The value obtained for the total magnetization is 3.72 μB/f.u. The offset from the most stable computed form comes out at 0.253 eV per atom.

Crystalline HoTm2Hg at its relaxed geometry, computed with PBE.

Cell lengths 4.764, 4.764, 4.742 Å; angles 90.00, 90.00, 90.00 degrees
Positions (direct):
Ho (0.000, 0.000, 0.000)
Tm (0.000, 0.500, 0.500)
Tm (0.500, 0.000, 0.500)
Hg (0.500, 0.500, 0.000)

Properties
For the formation energy from the elements, the calculation gives -14.7 kJ/mol of atoms. The calculation puts the total DFT energy (no corrections) at -3.608 eV per atom. The value obtained for the total magnetization is 0.00 μB/f.u. The offset from the most stable computed form comes out at 0.076 eV per atom.

Crystalline TlInSe2 at its relaxed geometry, computed with PBE.

Cell lengths 3.040, 5.877, 6.017 Å; angles 90.00, 90.00, 90.00 degrees
Positions (direct):
Tl (0.000, 0.000, 0.000)
In (0.500, 0.500, 0.500)
Se (0.000, 0.000, 0.500)
Se (0.500, 0.500, 0.000)

Properties
The value obtained for the uncorrected formation energy is -0.15 eV per atom. The calculation puts the total DFT energy (no corrections) at -3.171 eV per atom. The value obtained for the total magnetization is 0.00 μB/f.u.

Crystalline TcMo2Pb at its relaxed geometry, computed with PBE.

Cell lengths 5.012, 5.012, 3.024 Å; angles 90.00, 90.00, 114.00 degrees
Positions (direct):
Tc (0.000, 0.000, 0.000)
Mo (0.000, 0.500, 0.500)
Mo (0.500, 0.000, 0.500)
Pb (0.500, 0.500, 0.000)

Properties
For the formation energy from the elements, the calculation gives 64.3 kJ/mol of atoms. The calculation puts the total DFT energy (no corrections) at -8.268 eV per atom. The value obtained for the total magnetization is 0.00 μB/f.u.

Crystalline Te2PdCl2 at its relaxed geometry, computed with PBE.

Cell lengths 7.251, 7.251, 4.984 Å; angles 96.22, 96.22, 33.05 degrees
Positions (direct):
Te (0.071, 0.071, 0.220)
Te (0.929, 0.929, 0.780)
Pd (0.500, 0.500, 0.500)
Cl (0.346, 0.346, 0.246)
Cl (0.654, 0.654, 0.754)

Properties
The value obtained for the uncorrected formation energy is -0.40 eV per atom. The calculation puts the total DFT energy (no corrections) at -3.429 eV per atom. The value obtained for the total magnetization is 0.00 μB/f.u.

Crystalline VSiSe2 at its relaxed geometry, computed with PBE.

Cell lengths 8.085, 8.085, 8.085 Å; angles 25.44, 25.44, 25.44 degrees
Positions (direct):
V (0.000, 0.000, 0.000)
Si (0.500, 0.500, 0.500)
Se (0.105, 0.105, 0.105)
Se (0.895, 0.895, 0.895)

Properties
The value obtained for the uncorrected formation energy is 0.20 eV per atom. The calculation puts the total DFT energy (no corrections) at -5.175 eV per atom. The value obtained for the total magnetization is 3.02 μB/f.u.

Crystalline SnIrC at its relaxed geometry, computed with PBE.

Cell lengths 3.848, 2.867, 5.138 Å; angles 90.00, 99.40, 90.00 degrees
Positions (direct):
Sn (0.000, 0.000, 0.000)
Ir (0.656, 0.000, 0.472)
C (0.165, 0.000, 0.483)

Properties
For the formation energy from the elements, the calculation gives 85.8 kJ/mol of atoms. The calculation puts the total DFT energy (no corrections) at -6.473 eV per atom. The value obtained for the total magnetization is 0.00 μB/f.u. The offset from the most stable computed form comes out at 0.421 eV per atom.

Crystalline NdAlAsO5 at its relaxed geometry, computed with PBE.

Cell lengths 5.607, 5.607, 7.486 Å; angles 106.96, 106.96, 101.35 degrees
Positions (direct):
Nd (0.183, 0.817, 0.750)
Nd (0.817, 0.183, 0.250)
Al (0.500, 0.500, 0.000)
Al (0.500, 0.500, 0.500)
As (0.202, 0.798, 0.250)
As (0.798, 0.202, 0.750)
O (0.130, 0.258, 0.904)
O (0.185, 0.602, 0.423)
O (0.258, 0.130, 0.404)
O (0.398, 0.815, 0.077)
O (0.452, 0.548, 0.750)
O (0.548, 0.452, 0.250)
O (0.602, 0.185, 0.923)
O (0.742, 0.870, 0.596)
O (0.815, 0.398, 0.577)
O (0.870, 0.742, 0.096)

Properties
The value obtained for the uncorrected formation energy is -2.30 eV per atom. The calculation puts the total DFT energy (no corrections) at -7.043 eV per atom. The value obtained for the total magnetization is 0.89 μB/f.u.

Look up the total DFT energy (no corrections) of the twelfth one. -7.043 eV per atom

Among the records above, which one has the highest total magnetization? K2TcBr

Look up the total DFT energy (no corrections) of the second one. -5.849 eV per atom

Number 10 is which compound? VSiSe2